Sm2EuEr | PBE | optimized geometry

a = 3.836 Å, b = 5.977 Å, c = 5.977 Å
α = 90.00°, β = 90.00°, γ = 90.00°
Site moments in Bohr magnetons follow the coordinates.
Positions (direct):
1 Eu 0.500 0.500 0.500  6.93
2 Er 0.500 0.000 0.000  0.05
3 Sm 0.000 0.500 0.000  0.13
4 Sm 0.000 0.000 0.500  0.13

Calculated values
- Energy relative to the elements: 0.138 eV per atom